CsBaBi2, optimized geometry, DFT PBE-GGA; calculated density = 6.1 g cm⁻³; N(E_F) = 2.00 states/eV per cell; energy of formation from the pure elements = -607 meV/atom; energy above the most stable polymorph in this dataset = 0.0 meV per atom
1.0
-2.303 -3.038 2.882
-1.229 -2.654 -3.779
6.886 -4.408 0.856
Bi Cs Ba
2 1 1
direct
0.000 0.000 0.183
0.000 0.000 0.817
0.500 0.500 0.500
0.500 0.500 0.000

In2AsSe, optimized geometry, DFT PBE-GGA; calculated density = 6.7 g cm⁻³; N(E_F) = 1.63 states/eV per cell; energy above the most stable polymorph in this dataset = 420.0 meV per atom
1.0
-2.673 0.894 -2.318
2.348 -2.251 -3.575
-2.581 -4.600 1.202
In Se As
2 1 1
direct
0.500 0.500 0.000
0.000 0.000 0.000
0.500 0.000 0.500
0.000 0.500 0.500